The following is a DFT calculation (PBE) of a geometry-optimized Tl3In8Bi3 structure.

Cell lengths 5.3016, 9.4790, 9.4790 Å; angles 76.56, 73.76, 73.76 degrees
Positions (direct):
In 0.6459 0.0856 0.6226
In 0.8447 0.5312 0.7793
In 0.1553 0.4688 0.2207
In 0.1553 0.2207 0.4688
In 0.6459 0.6226 0.0856
In 0.3541 0.3774 0.9144
In 0.3541 0.9144 0.3774
In 0.8447 0.7793 0.5312
Tl 0.2062 0.7938 0.7938
Tl 0.7938 0.2062 0.2062
Tl 0.5000 0.5000 0.5000
Bi 0.0000 0.8189 0.1811
Bi 0.5000 0.0000 0.0000
Bi 0.0000 0.1811 0.8189

Results
* V: 30.92 Å³/atom
* E_form: 0.03 eV/atom
* theoretical density: 8.28 g/cm³



The following is a DFT calculation (PBE) of a geometry-optimized Tl8GaHg6 structure.

Cell lengths 8.4131, 8.4131, 8.4131 Å; angles 61.30, 61.30, 61.30 degrees
Positions (direct):
Tl 0.8200 0.1189 0.6613
Tl 0.8811 0.3387 0.1800
Tl 0.3387 0.1800 0.8811
Tl 0.6613 0.8200 0.1189
Tl 0.1800 0.8811 0.3387
Tl 0.4169 0.4169 0.4169
Tl 0.5831 0.5831 0.5831
Tl 0.1189 0.6613 0.8200
Hg 0.4532 0.7308 0.9340
Hg 0.2692 0.0660 0.5468
Hg 0.9340 0.4532 0.7308
Hg 0.7308 0.9340 0.4532
Hg 0.0660 0.5468 0.2692
Hg 0.5468 0.2692 0.0660
Ga 0.0000 0.0000 0.0000

Results
* V: 28.89 Å³/atom
* E_form: 0.03 eV/atom
* theoretical density: 11.14 g/cm³



The following is a DFT calculation (PBE) of a geometry-optimized Pm3Ni8Ir structure.

Cell lengths 5.0496, 5.0496, 8.7594 Å; angles 73.25, 73.25, 60.00 degrees
Positions (direct):
Ni 0.4352 0.4352 0.1891
Ni 0.6881 0.6881 0.9356
Ni 0.4432 0.9395 0.6778
Ni 0.9395 0.9395 0.6778
Ni 0.4352 0.9405 0.1891
Ni 0.9405 0.4352 0.1891
Ni 0.1891 0.1891 0.4326
Ni 0.9395 0.4432 0.6778
Pm 0.9879 0.9879 0.0362
Pm 0.5080 0.5080 0.4760
Pm 0.3777 0.3777 0.8669
Ir 0.8660 0.8660 0.4019

Results
* V: 15.20 Å³/atom
* E_form: -0.25 eV/atom
* theoretical density: 9.98 g/cm³